Entry from Alexandria: a relaxed AcPmZnGe crystal (PBE).

Properties
Uncorrected energy, eV per atom: -4.13
Energy of formation, meV/atom: -441.9

Cell lengths 7.5577, 7.5577, 7.5577 Å; angles 90.00, 90.00, 90.00 degrees
Space group F-43m (No. 216)
Unique sites:
1 Ac 0.0000 0.0000 0.0000 (multiplicity 4)
2 Pm 0.0000 0.0000 0.5000 (multiplicity 4)
3 Zn 0.2500 0.2500 0.7500 (multiplicity 4)
4 Ge 0.2500 0.2500 0.2500 (multiplicity 4)